Compound: AlCrSe
Source: Alexandria via LeMat-Bulk
Functional: GGA-PBE
Structure: optimized geometry

Summary:
crystal system = trigonal
energy = -101.0 eV/cell

a b c (Å): 4.2335 4.2335 23.5220
angles (deg): 90.00 90.00 120.00
Space group R-3m (No. 166, hexagonal axes)
Inequivalent atoms, fractional coordinates:
Al  0.0000  0.0000  0.1565
Cr  0.0000  0.0000  0.4547
Se  0.0000  0.0000  0.2655

***

Compound: AlCrSe
Source: Alexandria via LeMat-Bulk
Functional: GGA-PBE
Structure: optimized geometry

Summary:
crystal system = hexagonal
energy = -16.3 eV/cell

a b c (Å): 4.1955 4.1955 3.2544
angles (deg): 90.00 90.00 120.00
Space group P-6m2 (No. 187)
Inequivalent atoms, fractional coordinates:
Al  0.0000  0.0000  0.0000
Cr  0.6667  0.3333  0.5000
Se  0.3333  0.6667  0.5000